[1]
First-principles (PBE) data for crystalline CaLaHo4Se8 at its relaxed geometry, as listed in the Alexandria database.

Cell and atoms, written as POSCAR:
```
CaLaHo4Se8
1.0
-7.9286 -1.3899 -2.5196
-2.6611 -7.8810 -1.3967
-5.5803 -3.5903 5.4223
Ca La Ho Se
1 1 4 8
direct
0.3731 0.3731 0.8807
0.0015 0.0015 0.9954
0.6264 0.6264 0.1208
0.0019 0.4940 0.5022
0.4940 0.0019 0.5022
0.0019 0.0019 0.5022
0.2480 0.7773 0.7267
0.7773 0.2480 0.7267
0.2480 0.2480 0.7267
0.2394 0.2394 0.2817
0.7493 0.2315 0.2699
0.2315 0.7493 0.2699
0.7493 0.7493 0.2699
0.7583 0.7583 0.7252
```

Results
As for the density of states at the Fermi level: 0.307 states/eV/atom. The energy is -5.60 eV/atom. As for the density: 5.6 g/cm3.

=====

[2]
First-principles (PBE) data for crystalline LiPdBrF2 at its relaxed geometry, as listed in the Alexandria database.

Cell and atoms, written as POSCAR:
```
LiPdBrF2
1.0
-0.1001 -2.7653 -2.8309
-2.4840 -4.6094 4.5906
-3.6969 1.0758 -0.9202
Li Br Pd F
1 1 1 2
direct
0.0000 0.5000 0.0000
0.5000 0.5000 0.5000
0.0000 0.0000 0.0000
0.0000 0.0000 0.5000
0.5000 0.0000 0.0000
```

Results
As for the density of states at the Fermi level: 0.776 states/eV/atom. The energy is -3.64 eV/atom. As for the density: 3.5 g/cm3.

=====

[3]
First-principles (PBE) data for crystalline CdSe2SN at its relaxed geometry, as listed in the Alexandria database.

Cell and atoms, written as POSCAR:
```
CdSe2SN
1.0
-2.5886 -2.5142 3.9081
4.3267 -2.9358 0.9772
1.0645 2.2950 2.1815
S N Se Cd
1 1 2 1
direct
0.0000 0.0000 0.0000
0.0000 0.0000 0.5000
0.0000 0.5000 0.0000
0.5000 0.0000 0.0000
0.5000 0.5000 0.5000
```

Results
As for the density of states at the Fermi level: 0.554 states/eV/atom. The energy above the most stable polymorph in this dataset is 0.00 eV per formula unit. As for the density: 5.6 g/cm3.

=====

[4]
First-principles (PBE) data for crystalline BaCeSe4 at its relaxed geometry, as listed in the Alexandria database.

Cell and atoms, written as POSCAR:
```
BaCeSe4
1.0
7.8310 0.4788 -0.3235
-0.5429 6.6350 -3.3197
0.3682 -0.0790 8.1168
Ba Ce Se
2 2 8
direct
0.1567 0.1709 0.3417
0.8433 0.8291 0.6583
0.7424 0.4645 0.9291
0.2576 0.5355 0.0709
0.7993 0.2769 0.5538
0.5236 0.3217 0.1629
0.0000 0.2436 0.0000
0.4764 0.1588 0.8371
0.2007 0.7231 0.4462
0.4764 0.6783 0.8371
0.0000 0.7564 0.0000
0.5236 0.8412 0.1629
```

Results
The energy above the most stable polymorph in this dataset is 0.00 eV per formula unit. As for the density: 4.7 g/cm3.

=====

[5]
First-principles (PBE) data for crystalline Pu3Cd5Pd2 at its relaxed geometry, as listed in the Alexandria database.

Cell and atoms, written as POSCAR:
```
Pu3Cd5Pd2
1.0
-3.8781 4.4122 -0.4821
-8.0435 -2.6543 4.3818
1.5514 6.0846 7.1773
Pu Cd Pd
6 10 4
direct
0.2500 0.0000 0.0000
0.7500 0.0000 0.0000
0.3631 0.3716 0.9022
0.6369 0.6284 0.0978
0.8631 0.9022 0.3716
0.1369 0.0978 0.6284
0.2500 0.5000 0.5000
0.7500 0.5000 0.5000
0.5076 0.7424 0.7424
0.9924 0.2576 0.2576
0.4924 0.2576 0.2576
0.0076 0.7424 0.7424
0.1065 0.5479 0.2390
0.8935 0.4521 0.7610
0.6065 0.2390 0.5479
0.3935 0.7610 0.4521
0.1408 0.7119 0.0064
0.8592 0.2881 0.9936
0.6408 0.0064 0.7119
0.3592 0.9936 0.2881
```

Results
The value obtained for the formation enthalpy at 0 K is -0.1042 eV per atom. As for the density of states at the Fermi level: 3.875 states/eV/atom. As for the density: 10.3 g/cm3.

=====

[6]
First-principles (PBE) data for crystalline CaScAlIn at its relaxed geometry, as listed in the Alexandria database.

Cell and atoms, written as POSCAR:
```
CaScAlIn
1.0
-0.5936 5.0645 -0.4757
-0.9727 2.8636 4.1330
3.5821 3.1795 1.8131
Sc Ca Al In
1 1 1 1
direct
0.2500 0.2500 0.2500
0.7500 0.7500 0.7500
0.0000 0.0000 0.0000
0.5000 0.5000 0.5000
```

Results
The value obtained for the formation enthalpy at 0 K is -0.3002 eV per atom. As for the density of states at the Fermi level: 0.705 states/eV/atom. As for the density: 4.0 g/cm3.